{"formula": "HoTmPu2S4", "functional": "PBE", "state": "optimized geometry", "dos_at_fermi_per_ev_fu": 14.857, "total_energy_ev_per_cell": -69.37, "e_form_raw_ev_per_atom": -1.8929, "cell": [[3.8928, 0.0000, 0.0000], [0.0000, 6.7416, 0.1156], [0.0000, -2.3568, 6.3992]], "species": ["Ho", "S", "S", "S", "Pu", "Tm", "Pu", "S"], "fractional_positions": [[0.0000, 0.0000, 0.0000], [0.5000, 0.7507, 0.7569], [0.0000, 0.7455, 0.2417], [0.5000, 0.2493, 0.2431], [0.0000, 0.5000, 0.5000], [0.5000, 0.5000, 0.0000], [0.5000, 0.0000, 0.5000], [0.0000, 0.2545, 0.7583]]}

***

{"formula": "Ho4TmPu3S8", "functional": "PBE", "state": "optimized geometry", "dos_at_fermi_per_ev_fu": 22.189, "total_energy_ev_per_cell": -129.52, "e_form_raw_ev_per_atom": -1.9203, "cell": [[-7.5555, -1.6533, 0.9435], [1.8959, -6.0389, 4.6003], [2.6650, 7.1302, 1.6633]], "species": ["Ho", "S", "S", "Ho", "S", "S", "Pu", "S", "S", "S", "Pu", "Pu", "Ho", "Ho", "S", "Tm"], "fractional_positions": [[0.0000, 0.0000, 0.5000], [0.2449, 0.2475, 0.9962], [0.2487, 0.7525, 0.0038], [0.5000, 0.0000, 0.0000], [0.7513, 0.2475, 0.9962], [0.2487, 0.7525, 0.4975], [0.5000, 0.5000, 0.5000], [0.7551, 0.7525, 0.0038], [0.7516, 0.7548, 0.5032], [0.7513, 0.2475, 0.5025], [0.5000, 0.5000, 0.0000], [0.0000, 0.5000, 0.5000], [0.0000, 0.0000, 0.0000], [0.5000, 0.0000, 0.5000], [0.2484, 0.2452, 0.4968], [0.0000, 0.5000, 0.0000]]}

***

{"formula": "Ho3Tm2PuS6", "functional": "PBE", "state": "optimized geometry", "dos_at_fermi_per_ev_fu": 6.645, "total_energy_ev_per_cell": -85.18, "e_form_raw_ev_per_atom": -1.9508, "cell": [[-3.7417, 0.8468, 0.4580], [-1.5965, -3.3511, -6.8472], [1.1030, -6.7962, 5.2802]], "species": ["S", "S", "Pu", "Ho", "S", "S", "Tm", "Tm", "Ho", "S", "Ho", "S"], "fractional_positions": [[0.6694, 0.0878, 0.3387], [0.9991, 0.7454, 0.9982], [0.5000, 0.0000, 0.0000], [0.5000, 0.5000, 0.0000], [0.3312, 0.4190, 0.6623], [0.0009, 0.2546, 0.0018], [0.1638, 0.3280, 0.3276], [0.8362, 0.6720, 0.6724], [0.8356, 0.1643, 0.6712], [0.6688, 0.5810, 0.3377], [0.1644, 0.8357, 0.3288], [0.3306, 0.9122, 0.6613]]}

***

{"formula": "HoPuU2S4", "functional": "PBE", "state": "optimized geometry", "dos_at_fermi_per_ev_fu": 11.750, "total_energy_ev_per_cell": -70.94, "e_form_raw_ev_per_atom": -1.6186, "cell": [[-1.0657, 3.5407, -0.9059], [-0.6881, -1.8207, -6.3065], [-6.0709, -0.9962, 3.2482]], "species": ["S", "S", "Pu", "U", "S", "U", "Ho", "S"], "fractional_positions": [[0.5000, 0.7533, 0.7520], [0.5000, 0.2467, 0.2480], [0.5000, 0.5000, 0.0000], [0.5000, 0.0000, 0.5000], [0.0000, 0.7516, 0.2486], [0.0000, 0.5000, 0.5000], [0.0000, 0.0000, 0.0000], [0.0000, 0.2484, 0.7514]]}

***

{"formula": "HoPu2US4", "functional": "PBE", "state": "optimized geometry", "dos_at_fermi_per_ev_fu": 16.820, "total_energy_ev_per_cell": -74.80, "e_form_raw_ev_per_atom": -1.7205, "cell": [[3.8755, 0.0000, 0.0000], [0.0000, 6.8408, 0.1565], [0.0000, -2.3516, 6.3129]], "species": ["Ho", "S", "Pu", "S", "Pu", "S", "U", "S"], "fractional_positions": [[0.5000, 0.5000, 0.0000], [0.0000, 0.7486, 0.2449], [0.0000, 0.5000, 0.5000], [0.5000, 0.2508, 0.2472], [0.5000, 0.0000, 0.5000], [0.5000, 0.7492, 0.7528], [0.0000, 0.0000, 0.0000], [0.0000, 0.2514, 0.7551]]}

***

{"formula": "Ho2Pu3US6", "functional": "PBE", "state": "optimized geometry", "dos_at_fermi_per_ev_fu": 26.224, "total_energy_ev_per_cell": -109.52, "e_form_raw_ev_per_atom": -1.7761, "cell": [[-1.7177, -3.0086, 1.7590], [4.4168, 1.2060, 6.3758], [-6.0627, 6.3269, 0.6100]], "species": ["Pu", "S", "S", "S", "S", "S", "U", "Pu", "S", "Ho", "Ho", "Pu"], "fractional_positions": [[0.1669, 0.8344, 0.3339], [0.0014, 0.2492, 0.0028], [0.6670, 0.0866, 0.3339], [0.6690, 0.5808, 0.3379], [0.9986, 0.7508, 0.9972], [0.3330, 0.9134, 0.6661], [0.5000, 0.0000, 0.0000], [0.8331, 0.1656, 0.6661], [0.3310, 0.4192, 0.6621], [0.8343, 0.6671, 0.6685], [0.1657, 0.3329, 0.3315], [0.5000, 0.5000, 0.0000]]}

***

{"formula": "Y4HoPu3S8", "functional": "PBE", "state": "optimized geometry", "dos_at_fermi_per_ev_fu": 22.919, "total_energy_ev_per_cell": -137.44, "e_form_raw_ev_per_atom": -1.9367, "cell": [[7.8379, 0.0000, 0.0000], [0.0000, 7.8682, 0.0165], [-3.9189, -3.9154, 5.5447]], "species": ["Ho", "S", "Y", "S", "S", "S", "Pu", "S", "Pu", "Pu", "S", "Y", "S", "Y", "S", "Y"], "fractional_positions": [[0.0000, 0.5000, 0.0000], [0.2490, 0.7509, 0.4980], [0.0000, 0.0000, 0.5000], [0.2493, 0.2480, 0.4987], [0.2490, 0.7509, 0.0019], [0.2471, 0.2491, 0.9981], [0.0000, 0.5000, 0.5000], [0.7507, 0.7520, 0.5013], [0.5000, 0.5000, 0.0000], [0.5000, 0.5000, 0.5000], [0.7529, 0.7509, 0.0019], [0.5000, 0.0000, 0.5000], [0.7510, 0.2491, 0.5020], [0.5000, 0.0000, 0.0000], [0.7510, 0.2491, 0.9981], [0.0000, 0.0000, 0.0000]]}

***

{"formula": "YHo3Pu2S6", "functional": "PBE", "state": "optimized geometry", "dos_at_fermi_per_ev_fu": 15.581, "total_energy_ev_per_cell": -96.87, "e_form_raw_ev_per_atom": -1.9374, "cell": [[6.7644, -0.0026, 0.0011], [-3.3828, 5.8578, 0.0011], [-1.1271, -1.9515, 6.4181]], "species": ["Ho", "S", "Y", "Ho", "S", "S", "S", "Pu", "S", "Ho", "Pu", "S"], "fractional_positions": [[0.8332, 0.1668, 0.5000], [0.4174, 0.0849, 0.2545], [0.0000, 0.0000, 0.0000], [0.1668, 0.8332, 0.5000], [0.9151, 0.5826, 0.7455], [0.2473, 0.2473, 0.7444], [0.7527, 0.7527, 0.2556], [0.3334, 0.6666, 0.0000], [0.0849, 0.4174, 0.2545], [0.5000, 0.5000, 0.5000], [0.6666, 0.3334, 0.0000], [0.5826, 0.9151, 0.7455]]}